Entry 1:
# Mn2CoGeS

Crystalline Mn2CoGeS at its relaxed geometry (GGA-PBEsol, Alexandria via LeMat-Bulk).

The density of states at the Fermi level comes out at 4.38 states/eV/cell. The spin magnetization comes out at 8.09 μB per formula unit. The calculation puts the uncorrected formation energy at 0.96 eV/atom.

Cell lengths 4.2249, 4.5727, 4.5727 Å; angles 90.00, 90.00, 90.00 degrees
Fractional positions:
S: 0.5000 0.5000 0.5000
Mn: 0.0000 0.5000 0.0000
Mn: 0.0000 0.0000 0.5000
Ge: 0.0000 0.0000 0.0000
Co: 0.5000 0.0000 0.0000


Entry 2:
# Mn4Co4Si3Ge

Crystalline Mn4Co4Si3Ge at its relaxed geometry (GGA-PBEsol, Alexandria via LeMat-Bulk).

The density of states at the Fermi level comes out at 8.79 states/eV/cell. The spin magnetization comes out at 13.31 μB per formula unit. The calculation puts the uncorrected formation energy at -0.39 eV/atom.

Cell lengths 3.6245, 5.6289, 6.8345 Å; angles 90.38, 90.00, 90.00 degrees
Fractional positions:
Si: 0.5000 0.2613 0.8780
Mn: 0.5000 0.5282 0.3094
Mn: 0.0000 0.9722 0.8208
Ge: 0.5000 0.7589 0.6246
Mn: 0.5000 0.0311 0.1832
Si: 0.0000 0.2384 0.3736
Co: 0.5000 0.1644 0.5574
Si: 0.0000 0.7387 0.1237
Mn: 0.0000 0.4605 0.6873
Co: 0.0000 0.8481 0.4357
Co: 0.0000 0.3441 0.0591
Co: 0.5000 0.6543 0.9473


Entry 3:
# CoGe2Mo

Crystalline CoGe2Mo at its relaxed geometry (GGA-PBEsol, Alexandria via LeMat-Bulk).

The density of states at the Fermi level comes out at 2.34 states/eV/cell. The formation energy comes out at 12 meV/atom. The spin magnetization comes out at 0.00 μB per formula unit.

Cell lengths 4.2272, 4.2272, 4.2272 Å; angles 60.00, 60.00, 60.00 degrees
Fractional positions:
Ge: 0.2500 0.2500 0.2500
Co: 0.0000 0.0000 0.0000
Ge: 0.7500 0.7500 0.7500
Mo: 0.5000 0.5000 0.5000


Entry 4:
# CoGeNO2

Crystalline CoGeNO2 at its relaxed geometry (GGA-PBEsol, Alexandria via LeMat-Bulk).

The density of states at the Fermi level comes out at 2.44 states/eV/cell. The spin magnetization comes out at 0.00 μB per formula unit. The calculation puts the uncorrected formation energy at -0.04 eV/atom.

Cell lengths 3.4159, 3.8211, 3.8211 Å; angles 90.00, 90.00, 90.00 degrees
Fractional positions:
N: 0.5000 0.0000 0.0000
O: 0.0000 0.5000 0.0000
O: 0.0000 0.0000 0.5000
Ge: 0.5000 0.5000 0.5000
Co: 0.0000 0.0000 0.0000


Entry 5:
# CoGeTeN2

Crystalline CoGeTeN2 at its relaxed geometry (GGA-PBEsol, Alexandria via LeMat-Bulk).

The density of states at the Fermi level comes out at 4.56 states/eV/cell. The spin magnetization comes out at 0.00 μB per formula unit. The calculation puts the uncorrected formation energy at 1.06 eV/atom.

Cell lengths 3.7441, 3.7441, 5.1507 Å; angles 90.00, 90.00, 90.00 degrees
Fractional positions:
Co: 0.0000 0.0000 0.0000
Ge: 0.5000 0.5000 0.5000
N: 0.5000 0.0000 0.0000
N: 0.0000 0.5000 0.0000
Te: 0.0000 0.0000 0.5000


Entry 6:
# CoGeTe2N

Crystalline CoGeTe2N at its relaxed geometry (GGA-PBEsol, Alexandria via LeMat-Bulk).

The density of states at the Fermi level comes out at 2.37 states/eV/cell. The spin magnetization comes out at 0.00 μB per formula unit. The calculation puts the uncorrected formation energy at 0.22 eV/atom.

Cell lengths 3.3681, 5.2857, 5.2857 Å; angles 90.00, 90.00, 90.00 degrees
Fractional positions:
Co: 0.0000 0.0000 0.0000
Ge: 0.5000 0.5000 0.5000
Te: 0.0000 0.0000 0.5000
N: 0.5000 0.0000 0.0000
Te: 0.0000 0.5000 0.0000


Entry 7:
# Na2CoGeO4

Crystalline Na2CoGeO4 at its relaxed geometry (GGA-PBEsol, Alexandria via LeMat-Bulk).

The density of states at the Fermi level comes out at 2.47 states/eV/cell. The spin magnetization comes out at 3.00 μB per formula unit. The calculation puts the uncorrected formation energy at -1.47 eV/atom. Its offset from the most stable computed form is 0.0 meV per atom.

Cell lengths 5.3185, 5.5973, 7.1387 Å; angles 90.00, 89.95, 90.00 degrees
Fractional positions:
Ge: 0.5066 0.6850 0.2539
Na: 0.9912 0.8242 0.5067
O: 0.4240 0.3787 0.2814
O: 0.9240 0.6213 0.7814
Ge: 0.0066 0.3150 0.7539
O: 0.9207 0.1518 0.9579
O: 0.8624 0.2072 0.5477
Na: 0.9896 0.3221 0.2514
O: 0.3624 0.7928 0.0477
Na: 0.4912 0.1758 0.0067
O: 0.3375 0.2912 0.7256
Na: 0.4896 0.6779 0.7514
O: 0.4207 0.8482 0.4579
Co: 0.5020 0.1853 0.4986
Co: 0.0020 0.8147 0.9986
O: 0.8375 0.7088 0.2256


Entry 8:
# Na2CoGeO4

Crystalline Na2CoGeO4 at its relaxed geometry (GGA-PBEsol, Alexandria via LeMat-Bulk).

The density of states at the Fermi level comes out at 3.87 states/eV/cell. The spin magnetization comes out at 3.00 μB per formula unit. The calculation puts the uncorrected formation energy at -1.44 eV/atom. Its offset from the most stable computed form is 29.2 meV per atom.

Cell lengths 5.3504, 6.2071, 6.3616 Å; angles 90.00, 90.00, 90.00 degrees
Fractional positions:
O: 0.4208 0.6987 0.7307
O: 0.9208 0.3013 0.7693
Na: 0.4887 0.3352 0.2522
O: 0.4208 0.6987 0.2693
O: 0.8555 0.8958 0.0000
Ge: 0.5007 0.8494 0.5000
Na: 0.9887 0.6648 0.7522
Co: 0.4950 0.8490 0.0000
O: 0.3298 0.1224 0.0000
O: 0.8298 0.8776 0.5000
O: 0.9208 0.3013 0.2307
Na: 0.4887 0.3352 0.7478
Ge: 0.0007 0.1506 0.0000
O: 0.3555 0.1042 0.5000
Na: 0.9887 0.6648 0.2478
Co: 0.9950 0.1510 0.5000


Entry 9:
# NaCo2GeRh

Crystalline NaCo2GeRh at its relaxed geometry (GGA-PBEsol, Alexandria via LeMat-Bulk).

The density of states at the Fermi level comes out at 11.42 states/eV/cell. The formation energy comes out at 1935 meV/atom. The spin magnetization comes out at 2.69 μB per formula unit.

Cell lengths 4.1218, 4.1218, 4.5315 Å; angles 90.00, 90.00, 90.00 degrees
Fractional positions:
Ge: 0.0000 0.0000 0.5000
Co: 0.5000 0.0000 0.0000
Na: 0.0000 0.0000 0.0000
Co: 0.0000 0.5000 0.0000
Rh: 0.5000 0.5000 0.5000


Entry 10:
# NaCoSn2Ge

Crystalline NaCoSn2Ge at its relaxed geometry (GGA-PBEsol, Alexandria via LeMat-Bulk).

The density of states at the Fermi level comes out at 4.74 states/eV/cell. The formation energy comes out at 1035 meV/atom. The spin magnetization comes out at 2.00 μB per formula unit.

Cell lengths 5.0912, 5.2661, 5.2661 Å; angles 90.00, 90.00, 90.00 degrees
Fractional positions:
Ge: 0.0000 0.0000 0.0000
Sn: 0.0000 0.0000 0.5000
Co: 0.5000 0.5000 0.5000
Na: 0.5000 0.0000 0.0000
Sn: 0.0000 0.5000 0.0000


Entry 11:
# Nb2Co3Ge

Crystalline Nb2Co3Ge at its relaxed geometry (GGA-PBEsol, Alexandria via LeMat-Bulk).

The density of states at the Fermi level comes out at 13.20 states/eV/cell. The formation energy comes out at -370 meV/atom. The spin magnetization comes out at 0.00 μB per formula unit.

Cell lengths 4.8440, 4.8440, 7.5602 Å; angles 90.00, 90.00, 120.00 degrees
Fractional positions:
Nb: 0.3333 0.6667 0.5614
Co: 0.3443 0.1721 0.7500
Ge: 0.0000 0.0000 0.5000
Nb: 0.6667 0.3333 0.0614
Ge: 0.0000 0.0000 0.0000
Co: 0.1721 0.8279 0.2500
Co: 0.8279 0.1721 0.7500
Nb: 0.6667 0.3333 0.4386
Nb: 0.3333 0.6667 0.9386
Co: 0.1721 0.3443 0.2500
Co: 0.8279 0.6557 0.7500
Co: 0.6557 0.8279 0.2500


Entry 12:
# Nb3CoGe

Crystalline Nb3CoGe at its relaxed geometry (GGA-PBEsol, Alexandria via LeMat-Bulk).

The density of states at the Fermi level comes out at 4.64 states/eV/cell. The formation energy comes out at 1295 meV/atom. The spin magnetization comes out at 1.91 μB per formula unit.

Cell lengths 4.6705, 4.6705, 4.6705 Å; angles 90.00, 90.00, 90.00 degrees
Fractional positions:
Nb: 0.5000 0.0000 0.0000
Ge: 0.0000 0.0000 0.0000
Nb: 0.0000 0.5000 0.0000
Co: 0.5000 0.5000 0.5000
Nb: 0.0000 0.0000 0.5000


Entry 13:
# NbCoGe

Crystalline NbCoGe at its relaxed geometry (GGA-PBEsol, Alexandria via LeMat-Bulk).

The density of states at the Fermi level comes out at 4.60 states/eV/cell. The formation energy comes out at -542 meV/atom. The spin magnetization comes out at 0.00 μB per formula unit.

Cell lengths 3.7144, 6.2792, 7.0910 Å; angles 90.00, 90.00, 90.00 degrees
Fractional positions:
Nb: 0.7500 0.5215 0.8161
Ge: 0.2500 0.2307 0.8817
Ge: 0.7500 0.7693 0.1183
Co: 0.7500 0.6395 0.4379
Ge: 0.2500 0.7307 0.6183
Co: 0.7500 0.1395 0.0621
Nb: 0.2500 0.9785 0.3161
Co: 0.2500 0.3605 0.5621
Nb: 0.7500 0.0215 0.6839
Ge: 0.7500 0.2693 0.3817
Nb: 0.2500 0.4785 0.1839
Co: 0.2500 0.8605 0.9379


Entry 14:
# Nb9Co4Ge

Crystalline Nb9Co4Ge at its relaxed geometry (GGA-PBEsol, Alexandria via LeMat-Bulk).

The density of states at the Fermi level comes out at 29.84 states/eV/cell. The formation energy comes out at -205 meV/atom. The spin magnetization comes out at 0.00 μB per formula unit.

Cell lengths 5.0039, 9.5631, 9.5631 Å; angles 86.08, 74.83, 74.83 degrees
Fractional positions:
Co: 0.0000 0.0000 0.5000
Nb: 0.9307 0.3638 0.7749
Ge: 0.2500 0.0000 0.0000
Nb: 0.7500 0.5000 0.5000
Co: 0.0000 0.5000 0.0000
Nb: 0.0874 0.0785 0.7467
Nb: 0.4307 0.7749 0.3638
Nb: 0.8341 0.2533 0.0785
Co: 0.5000 0.0000 0.5000
Nb: 0.6659 0.9215 0.7467
Co: 0.1328 0.2344 0.5000
Nb: 0.2055 0.3638 0.2251
Nb: 0.5874 0.7467 0.0785
Nb: 0.3341 0.0785 0.2533
Nb: 0.5693 0.2251 0.6362
Nb: 0.1659 0.7467 0.9215
Co: 0.5000 0.5000 0.0000
Co: 0.6328 0.5000 0.2344
Ge: 0.7500 0.0000 0.0000
Nb: 0.9126 0.9215 0.2533
Nb: 0.2500 0.5000 0.5000
Nb: 0.4126 0.2533 0.9215
Nb: 0.0693 0.6362 0.2251
Nb: 0.7055 0.2251 0.3638
Co: 0.8672 0.7656 0.5000
Nb: 0.2945 0.7749 0.6362
Co: 0.3672 0.5000 0.7656
Nb: 0.7945 0.6362 0.7749


Entry 15:
# NbCoGe2

Crystalline NbCoGe2 at its relaxed geometry (GGA-PBEsol, Alexandria via LeMat-Bulk).

The density of states at the Fermi level comes out at 6.73 states/eV/cell. The formation energy comes out at 15 meV/atom. The spin magnetization comes out at 0.25 μB per formula unit.

Cell lengths 4.3248, 4.3248, 4.3248 Å; angles 60.00, 60.00, 60.00 degrees
Fractional positions:
Co: 0.0000 0.0000 0.0000
Ge: 0.7500 0.7500 0.7500
Ge: 0.2500 0.2500 0.2500
Nb: 0.5000 0.5000 0.5000


Entry 16:
# Nd2Co3Ge5

Crystalline Nd2Co3Ge5 at its relaxed geometry (GGA-PBEsol, Alexandria via LeMat-Bulk).

The density of states at the Fermi level comes out at 11.70 states/eV/cell. The formation energy comes out at -655 meV/atom. The spin magnetization comes out at 0.61 μB per formula unit.

Cell lengths 5.7624, 8.0938, 8.0938 Å; angles 93.09, 110.07, 110.07 degrees
Fractional positions:
Ge: 0.7500 0.7785 0.2215
Co: 0.2500 0.0045 0.9955
Ge: 0.7500 0.4934 0.5066
Ge: 0.2500 0.5066 0.4934
Co: 0.8819 0.5355 0.2600
Co: 0.6181 0.7400 0.4645
Ge: 0.7500 0.2330 0.7670
Ge: 0.2500 0.7670 0.2330
Co: 0.1181 0.4645 0.7400
Ge: 0.2500 0.2215 0.7785
Nd: 0.2342 0.8708 0.5991
Ge: 0.1674 0.0668 0.2579
Co: 0.7500 0.9955 0.0045
Nd: 0.2658 0.4009 0.1292
Ge: 0.8326 0.9332 0.7421
Nd: 0.7658 0.1292 0.4009
Ge: 0.6674 0.2579 0.0668
Ge: 0.3326 0.7421 0.9332
Co: 0.3819 0.2600 0.5355
Nd: 0.7342 0.5991 0.8708


Entry 17:
# NdCoGe2

Crystalline NdCoGe2 at its relaxed geometry (GGA-PBEsol, Alexandria via LeMat-Bulk).

The density of states at the Fermi level comes out at 4.17 states/eV/cell. The formation energy comes out at -730 meV/atom. The spin magnetization comes out at 0.00 μB per formula unit.

Cell lengths 4.1679, 4.1919, 8.4915 Å; angles 75.71, 90.00, 90.00 degrees
Fractional positions:
Ge: 0.2500 0.2500 0.5000
Co: 0.7500 0.3172 0.3656
Co: 0.2500 0.6828 0.6344
Ge: 0.2500 0.5456 0.9088
Ge: 0.7500 0.4544 0.0912
Nd: 0.7500 0.1086 0.7828
Ge: 0.7500 0.7500 0.5000
Nd: 0.2500 0.8914 0.2172


Entry 18:
# NdCo2Ge2

Crystalline NdCo2Ge2 at its relaxed geometry (GGA-PBEsol, Alexandria via LeMat-Bulk).

The density of states at the Fermi level comes out at 3.17 states/eV/cell. The formation energy comes out at -649 meV/atom. The spin magnetization comes out at 0.00 μB per formula unit.

Cell lengths 3.9611, 3.9611, 5.7980 Å; angles 109.97, 109.97, 90.00 degrees
Fractional positions:
Ge: 0.6315 0.6315 0.2630
Co: 0.2500 0.7500 0.5000
Nd: 0.0000 0.0000 0.0000
Co: 0.7500 0.2500 0.5000
Ge: 0.3685 0.3685 0.7370


Entry 19:
# Nd4Co3Ge8

Crystalline Nd4Co3Ge8 at its relaxed geometry (GGA-PBEsol, Alexandria via LeMat-Bulk).

The density of states at the Fermi level comes out at 8.90 states/eV/cell. The formation energy comes out at -723 meV/atom. The spin magnetization comes out at 0.00 μB per formula unit.

Cell lengths 4.1426, 4.1946, 16.2352 Å; angles 90.00, 90.00, 90.00 degrees
Fractional positions:
Ge: 0.0000 0.5000 0.9571
Co: 0.5000 0.0000 0.6807
Co: 0.5000 0.5000 0.1913
Nd: 0.0000 0.0000 0.1071
Nd: 0.5000 0.0000 0.8934
Ge: 0.5000 0.5000 0.0503
Ge: 0.0000 0.0000 0.4414
Nd: 0.0000 0.5000 0.6048
Nd: 0.5000 0.5000 0.3916
Ge: 0.5000 0.0000 0.2556
Ge: 0.5000 0.5000 0.7485
Ge: 0.0000 0.5000 0.2549
Co: 0.0000 0.5000 0.8176
Ge: 0.0000 0.0000 0.7494
Ge: 0.5000 0.0000 0.5408


Entry 20:
# CoNiGe3

Crystalline CoNiGe3 at its relaxed geometry (GGA-PBEsol, Alexandria via LeMat-Bulk).

The density of states at the Fermi level comes out at 9.65 states/eV/cell. The formation energy comes out at 688 meV/atom. The spin magnetization comes out at 1.48 μB per formula unit.

Cell lengths 4.4462, 4.4462, 4.4462 Å; angles 90.00, 90.00, 90.00 degrees
Fractional positions:
Ni: 0.0000 0.0000 0.0000
Ge: 0.0000 0.5000 0.0000
Co: 0.5000 0.5000 0.5000
Ge: 0.0000 0.0000 0.5000
Ge: 0.5000 0.0000 0.0000